Entry 1:
{"formula": "Mn2Ni2H5", "functional": "PBE", "state": "relaxed", "total_energy_ha_per_atom": -0.1895, "n_ef_per_ev_cell": 7.43, "de_polymorph_mev_per_atom": 14.4, "sg": "Ima2, No. 46", "lattice_angstrom": [[4.4786, 0.0000, 0.0000], [0.0000, 4.3294, 0.0000], [-2.2393, -2.1647, 6.5750]], "species": ["Ni", "Mn", "Mn", "Mn", "H", "H", "H", "Ni", "H", "Mn", "H", "H", "Ni", "Ni", "H", "H", "H", "H"], "frac_coords": [[0.6990, 0.7734, 0.5000], [0.8844, 0.3927, 0.7322], [0.3478, 0.8927, 0.7322], [0.1156, 0.6606, 0.2678], [0.9868, 0.0333, 0.5000], [0.4822, 0.3395, 0.7474], [0.7854, 0.8114, 0.0876], [0.3010, 0.2734, 0.5000], [0.0132, 0.5333, 0.5000], [0.6522, 0.1606, 0.2678], [0.8022, 0.3114, 0.0876], [0.5178, 0.5921, 0.2526], [0.0000, 0.0093, 0.0000], [0.5000, 0.5093, 0.0000], [0.1978, 0.2238, 0.9124], [0.7652, 0.8395, 0.7474], [0.2146, 0.7238, 0.9124], [0.2348, 0.0921, 0.2526]]}



Entry 2:
{"formula": "MnNi3H", "functional": "PBE", "state": "relaxed", "total_energy_ha_per_atom": -0.2187, "n_ef_per_ev_cell": 20.56, "de_polymorph_mev_per_atom": 124.7, "sg": "C2/c, No. 15", "lattice_angstrom": [[9.3162, 0.0000, 0.5168], [3.7371, 5.0551, -1.7170], [-3.7371, 5.0551, 1.7170]], "species": ["H", "Ni", "Ni", "Ni", "H", "Ni", "Ni", "Ni", "H", "Ni", "Ni", "Mn", "Ni", "Ni", "Ni", "Mn", "Ni", "Mn", "H", "Mn"], "frac_coords": [[0.7500, 0.1872, 0.6872], [0.0845, 0.9904, 0.8858], [0.9157, 0.7650, 0.8552], [0.4155, 0.3858, 0.4904], [0.7500, 0.4358, 0.9358], [0.0853, 0.7235, 0.6451], [0.5843, 0.3552, 0.2650], [0.4157, 0.6448, 0.7350], [0.2500, 0.5642, 0.0642], [0.9155, 0.0096, 0.1142], [0.9147, 0.2765, 0.3549], [0.4143, 0.9125, 0.9664], [0.4147, 0.1451, 0.2235], [0.5845, 0.6142, 0.5096], [0.0843, 0.2350, 0.1448], [0.9143, 0.5336, 0.5875], [0.5853, 0.8549, 0.7765], [0.0857, 0.4664, 0.4125], [0.2500, 0.8128, 0.3128], [0.5857, 0.0875, 0.0336]]}



Entry 3:
{"formula": "MnNi3H", "functional": "PBE", "state": "relaxed", "total_energy_ha_per_atom": -0.2205, "n_ef_per_ev_cell": 8.44, "de_polymorph_mev_per_atom": 74.1, "sg": "P-1, No. 2", "lattice_angstrom": [[5.1494, 0.0636, 0.0950], [0.0177, 4.4272, -0.0738], [0.0246, -1.4489, 4.2438]], "species": ["H", "Ni", "Ni", "Mn", "H", "Mn", "Ni", "Ni", "Ni", "Ni"], "frac_coords": [[0.3522, 0.7911, 0.3055], [0.6222, 0.5546, 0.0698], [0.1075, 0.0583, 0.5727], [0.8783, 0.0500, 0.0650], [0.1353, 0.3225, 0.3394], [0.6093, 0.0641, 0.5799], [0.3801, 0.0555, 0.0719], [0.1192, 0.5496, 0.0640], [0.8656, 0.5595, 0.5748], [0.3684, 0.5645, 0.5806]]}



Entry 4:
{"formula": "MnNi3H", "functional": "PBE", "state": "relaxed", "total_energy_ha_per_atom": -0.2177, "n_ef_per_ev_cell": 12.91, "de_polymorph_mev_per_atom": 150.5, "sg": "P1, No. 1", "lattice_angstrom": [[-1.4547, 3.9784, -2.7670], [0.1476, -2.4250, -3.6276], [-3.9269, -1.0392, 0.5057]], "species": ["Mn", "Ni", "Ni", "Ni", "Ni", "Ni", "Ni", "H", "H", "Mn"], "frac_coords": [[0.7346, 0.1764, 0.2878], [0.9988, 0.0227, 0.7723], [0.7437, 0.5279, 0.7672], [0.4937, 0.6938, 0.2724], [0.9852, 0.6940, 0.2781], [0.2393, 0.1805, 0.2782], [0.2498, 0.5328, 0.7652], [0.4870, 0.3545, 0.0241], [0.0010, 0.3659, 0.0209], [0.5049, 0.0211, 0.7574]]}



Entry 5:
{"formula": "MnNi3H3", "functional": "PBE", "state": "relaxed", "total_energy_ha_per_atom": -0.1909, "n_ef_per_ev_cell": 11.67, "de_polymorph_mev_per_atom": 67.6, "sg": "R-3, No. 148", "lattice_angstrom": [[-3.1267, 0.5528, -3.0694], [-0.7065, -3.1409, -3.0229], [-5.5184, -3.5932, 1.7974]], "species": ["Ni", "H", "Ni", "Ni", "Ni", "H", "Mn", "Ni", "H", "Mn", "H", "H", "Ni", "H"], "frac_coords": [[0.8871, 0.5553, 0.3373], [0.0588, 0.7263, 0.8242], [0.4447, 0.7797, 0.6627], [0.2203, 0.8871, 0.3373], [0.7797, 0.1129, 0.6627], [0.3907, 0.0588, 0.8242], [0.3331, 0.3331, 0.0008], [0.1129, 0.4447, 0.6627], [0.7263, 0.3907, 0.8242], [0.6669, 0.6669, 0.9992], [0.2737, 0.6093, 0.1758], [0.9412, 0.2737, 0.1758], [0.5553, 0.2203, 0.3373], [0.6093, 0.9412, 0.1758]]}



Entry 6:
{"formula": "MnNi3H", "functional": "PBE", "state": "relaxed", "total_energy_ha_per_atom": -0.2092, "n_ef_per_ev_cell": 6.28, "de_polymorph_mev_per_atom": 383.4, "sg": "I-4m2, No. 119", "lattice_angstrom": [[-4.3908, -0.1908, -1.6373], [0.8817, -4.2079, -1.8742], [-3.0698, -4.1470, 1.9985]], "species": ["Ni", "Ni", "Ni", "Mn", "Ni", "H", "Ni", "H", "Ni", "Mn"], "frac_coords": [[0.3688, 0.3688, 0.2624], [0.1214, 0.3731, 0.7571], [0.1214, 0.8698, 0.7571], [0.6409, 0.1409, 0.7181], [0.1302, 0.8786, 0.2429], [0.0000, 0.0000, 0.0000], [0.6312, 0.6312, 0.7376], [0.2500, 0.7500, 0.5000], [0.6269, 0.8786, 0.2429], [0.8591, 0.3591, 0.2819]]}